Record 1
A plane-wave DFT calculation with PBE-GGA was carried out for RbHf after structural relaxation.

Summary:
- Uncorrected energy: -5.1 eV for the cell shown
- Symmetry: F-43m
- Magnetization: 3.00 μB per formula unit
- ΔE to the lowest computed polymorph: 1.698 eV/atom

Cell: 5.938 5.938 5.938 Å, 60.00 60.00 60.00°
Last column: magnetic moment on the atom in μB.
Element x y z (fractional)
Hf 0.000 0.000 0.000  1.49
Rb 0.250 0.250 0.250  0.05

***

Record 2
A plane-wave DFT calculation with PBE-GGA was carried out for RbHf after structural relaxation.

Summary:
- Uncorrected energy: -5.9 eV for the cell shown
- Symmetry: Fm-3m
- Magnetization: 2.99 μB per formula unit
- ΔE to the lowest computed polymorph: 1.316 eV/atom

Cell: 5.277 5.277 5.277 Å, 60.00 60.00 60.00°
Last column: magnetic moment on the atom in μB.
Element x y z (fractional)
Hf 0.000 0.000 0.000  1.45
Rb 0.500 0.500 0.500  0.07

***

Record 3
A plane-wave DFT calculation with PBE-GGA was carried out for Rb2HfS3 after structural relaxation.

Summary:
- Uncorrected energy: -65.7 eV for the cell shown
- Symmetry: P2_1/m
- Magnetization: 0.00 μB per formula unit

Cell: 8.016 3.879 10.637 Å, 90.00 96.31 90.00°
Element x y z (fractional)
Hf 0.595 0.250 0.165
Hf 0.405 0.750 0.835
Rb 0.081 0.750 0.146
Rb 0.249 0.250 0.480
Rb 0.751 0.750 0.520
Rb 0.919 0.250 0.854
S 0.679 0.750 0.016
S 0.460 0.750 0.280
S 0.857 0.250 0.297
S 0.143 0.750 0.703
S 0.540 0.250 0.720
S 0.321 0.250 0.984

***

Record 4
A plane-wave DFT calculation with PBE-GGA was carried out for Rb2HfS3 after structural relaxation.

Summary:
- Uncorrected energy: -65.7 eV for the cell shown
- Symmetry: P2_1/m
- Magnetization: 0.00 μB per formula unit

Cell: 8.003 3.881 10.636 Å, 90.00 95.84 90.00°
Element x y z (fractional)
Hf 0.407 0.750 0.335
Hf 0.593 0.250 0.665
Rb 0.752 0.750 0.018
Rb 0.920 0.250 0.355
Rb 0.080 0.750 0.645
Rb 0.248 0.250 0.982
S 0.145 0.750 0.204
S 0.544 0.250 0.221
S 0.321 0.250 0.484
S 0.679 0.750 0.516
S 0.456 0.750 0.779
S 0.855 0.250 0.796

***

Record 5
A plane-wave DFT calculation with PBE-GGA was carried out for RbHf3S5 after structural relaxation.

Summary:
- Uncorrected energy: -63.0 eV for the cell shown
- Symmetry: P6/mmm
- Magnetization: 0.01 μB per formula unit

Cell: 6.025 6.025 7.256 Å, 90.00 90.00 120.00°
Element x y z (fractional)
Hf 0.500 0.000 0.500
Hf 0.000 0.500 0.500
Hf 0.500 0.500 0.500
Rb 0.000 0.000 0.000
S 0.667 0.333 0.246
S 0.333 0.667 0.246
S 0.000 0.000 0.500
S 0.667 0.333 0.754
S 0.333 0.667 0.754

***

Record 6
A plane-wave DFT calculation with PBE-GGA was carried out for Rb2HfS3 after structural relaxation.

Summary:
- Uncorrected energy: -65.7 eV for the cell shown
- Symmetry: P2_1/m
- Magnetization: 0.00 μB per formula unit

Cell: 8.004 3.875 10.651 Å, 90.00 95.96 90.00°
Element x y z (fractional)
Hf 0.905 0.750 0.335
Hf 0.095 0.250 0.665
Rb 0.252 0.750 0.019
Rb 0.418 0.250 0.354
Rb 0.582 0.750 0.646
Rb 0.748 0.250 0.981
S 0.643 0.750 0.204
S 0.040 0.250 0.220
S 0.821 0.250 0.484
S 0.179 0.750 0.516
S 0.960 0.750 0.780
S 0.357 0.250 0.796

***

Record 7
A plane-wave DFT calculation with PBE-GGA was carried out for RbHfTaS5 after structural relaxation.

Summary:
- Uncorrected energy: -106.6 eV for the cell shown
- Symmetry: P-1
- Magnetization: 0.00 μB per formula unit

Cell: 7.237 8.020 8.865 Å, 67.79 77.76 75.69°
Element x y z (fractional)
Hf 0.992 0.705 0.339
Hf 0.008 0.295 0.661
Rb 0.601 0.330 0.313
Rb 0.399 0.670 0.687
S 0.443 0.222 0.004
S 0.054 0.772 0.018
S 0.685 0.911 0.292
S 0.232 0.881 0.300
S 0.078 0.382 0.361
S 0.922 0.618 0.639
S 0.768 0.119 0.700
S 0.315 0.089 0.708
S 0.946 0.228 0.982
S 0.557 0.778 0.996
Ta 0.252 0.032 0.003
Ta 0.748 0.968 0.997

***

Record 8
A plane-wave DFT calculation with PBE-GGA was carried out for RbHfTlS3 after structural relaxation.

Summary:
- Uncorrected energy: -128.3 eV for the cell shown
- Symmetry: Pnma
- Magnetization: 0.00 μB per formula unit
- ΔE to the lowest computed polymorph: 0.164 eV/atom

Cell: 14.758 3.833 12.711 Å, 90.00 90.00 90.00°
Element x y z (fractional)
Hf 0.494 0.250 0.144
Hf 0.994 0.250 0.356
Hf 0.006 0.750 0.644
Hf 0.506 0.750 0.856
Rb 0.080 0.750 0.081
Rb 0.580 0.750 0.419
Rb 0.420 0.250 0.581
Rb 0.920 0.250 0.919
S 0.406 0.750 0.049
S 0.606 0.750 0.186
S 0.925 0.250 0.188
S 0.425 0.250 0.312
S 0.106 0.750 0.314
S 0.906 0.750 0.451
S 0.094 0.250 0.549
S 0.894 0.250 0.686
S 0.575 0.750 0.688
S 0.075 0.750 0.812
S 0.394 0.250 0.814
S 0.594 0.250 0.951
Tl 0.741 0.750 0.047
Tl 0.241 0.750 0.453
Tl 0.759 0.250 0.547
Tl 0.259 0.250 0.953

***

Record 9
A plane-wave DFT calculation with PBE-GGA was carried out for RbHfTlS3 after structural relaxation.

Summary:
- Uncorrected energy: -66.1 eV for the cell shown
- Symmetry: P2_1/m
- Magnetization: 0.00 μB per formula unit
- ΔE to the lowest computed polymorph: 0.000 eV/atom

Cell: 8.033 3.821 10.537 Å, 90.00 96.89 90.00°
Element x y z (fractional)
Hf 0.587 0.750 0.163
Hf 0.413 0.250 0.837
Rb 0.247 0.750 0.472
Rb 0.753 0.250 0.528
S 0.678 0.250 0.017
S 0.454 0.250 0.279
S 0.858 0.750 0.297
S 0.142 0.250 0.703
S 0.546 0.750 0.721
S 0.322 0.750 0.983
Tl 0.036 0.250 0.147
Tl 0.964 0.750 0.853

***

Record 10
A plane-wave DFT calculation with PBE-GGA was carried out for Rb2HfWS6 after structural relaxation.

Summary:
- Uncorrected energy: -117.7 eV for the cell shown
- Symmetry: P2_1/c
- Magnetization: 0.00 μB per formula unit

Cell: 6.917 6.930 9.851 Å, 89.96 89.99 90.00°
Element x y z (fractional)
Hf 0.500 0.500 0.000
Hf 0.000 0.000 0.500
Rb 0.500 0.000 0.250
Rb 0.000 0.500 0.250
Rb 0.000 0.500 0.750
Rb 0.500 0.000 0.750
S 0.755 0.764 0.000
S 0.237 0.756 0.000
S 0.000 0.001 0.250
S 0.500 0.499 0.250
S 0.737 0.744 0.500
S 0.255 0.736 0.500
S 0.745 0.264 0.500
S 0.263 0.256 0.500
S 0.500 0.501 0.750
S 0.000 0.999 0.750
S 0.763 0.244 0.000
S 0.245 0.236 0.000
W 0.000 0.000 0.000
W 0.500 0.500 0.500

***

Record 11
A plane-wave DFT calculation with PBE-GGA was carried out for RbHfZrS3 after structural relaxation.

Summary:
- Uncorrected energy: -80.1 eV for the cell shown
- Symmetry: Cmcm
- Magnetization: 0.00 μB per formula unit

Cell: 7.923 7.923 9.969 Å, 90.00 90.00 151.11°
Element x y z (fractional)
Hf 0.982 0.018 0.250
Hf 0.018 0.982 0.750
Rb 0.252 0.748 0.250
Rb 0.748 0.252 0.750
S 0.886 0.114 0.053
S 0.578 0.422 0.250
S 0.886 0.114 0.447
S 0.114 0.886 0.553
S 0.422 0.578 0.750
S 0.114 0.886 0.947
Zr 0.500 0.500 0.000
Zr 0.500 0.500 0.500

***

Record 12
A plane-wave DFT calculation with PBE-GGA was carried out for RbHfSb after structural relaxation.

Summary:
- Uncorrected energy: -10.6 eV for the cell shown
- Symmetry: F-43m
- Magnetization: 0.28 μB per formula unit
- ΔE to the lowest computed polymorph: 0.770 eV/atom

Cell: 5.319 5.319 5.319 Å, 60.00 60.00 60.00°
Element x y z (fractional)
Hf 0.250 0.250 0.250
Rb 0.000 0.000 0.000
Sb 0.750 0.750 0.750